Compound: NaPd2Pb
Source: the Alexandria database
Functional: GGA-PBEsol
Structure: optimized geometry

Cell and atoms, written as POSCAR:
```
NaPd2Pb
1.0
4.6412 0.0000 0.0000
2.3206 4.0194 0.0000
2.3206 1.3398 3.7895
Pb Na Pd
1 1 2
Direct
0.5000 0.5000 0.5000 Pb
0.0000 0.0000 0.0000 Na
0.2500 0.2500 0.2500 Pd
0.7500 0.7500 0.7500 Pd
```

Output
- ρ: 10.407 g cm⁻³
- Spin magnetization: 0.000 Bohr magnetons per cell
- Space-group type: Fm-3m (225)
- Calculated formation energy: -4.391 kcal/mol of atoms

***

Compound: In2FeMo
Source: the Alexandria database
Functional: GGA-PBEsol
Structure: optimized geometry

Cell and atoms, written as POSCAR:
```
In2FeMo
1.0
3.0259 0.0000 0.0037
0.0000 4.1432 0.0000
-1.3304 0.0000 5.4272
Fe In Mo
1 2 1
Direct
0.3490 0.5000 0.7247 Fe
0.9064 0.0000 0.9705 In
0.5750 0.5000 0.2800 In
0.1696 0.0000 0.5248 Mo
```

Output
- ρ: 9.306 g cm⁻³
- Spin magnetization: 0.000 Bohr magnetons per cell
- Space-group type: Pm (6)
- Calculated formation energy: 8.916 kcal/mol of atoms
- Offset from the most stable computed form: 0 meV per atom